A geometry-optimized PrZn2Ag9 structure. Source: Alexandria via LeMat-Bulk, functional GGA-PBE.

Properties
The value obtained for the magnetic moment is 0.000 μB per formula unit. The space group is I4_1/amd (141). The value obtained for the final energy is -2.83 eV per atom.

Cell lengths 7.245, 8.761, 8.761 Å; angles 80.15, 65.57, 65.57 degrees
Positions (direct):
1 Pr 0.500 0.000 0.000
2 Pr 0.250 0.500 0.500
3 Zn 0.875 0.250 0.750
4 Zn 0.875 0.750 0.250
5 Zn 0.875 0.250 0.250
6 Zn 0.375 0.750 0.750
7 Ag 0.750 0.500 0.500
8 Ag 0.000 0.000 0.000
9 Ag 0.007 0.921 0.677
10 Ag 0.605 0.079 0.323
11 Ag 0.678 0.177 0.579
12 Ag 0.434 0.823 0.421
13 Ag 0.743 0.823 0.579
14 Ag 0.145 0.177 0.421
15 Ag 0.072 0.921 0.323
16 Ag 0.316 0.079 0.677
17 Ag 0.743 0.579 0.823
18 Ag 0.145 0.421 0.177
19 Ag 0.072 0.323 0.921
20 Ag 0.316 0.677 0.079
21 Ag 0.007 0.677 0.921
22 Ag 0.605 0.323 0.079
23 Ag 0.678 0.579 0.177
24 Ag 0.434 0.421 0.823